1.
Computed, not measured: a PBEsol-optimized structure of LiYP2 at the meta-GGA SCAN level of DFT.

Calculated values
- mass density (g/cm³) = 3.9
- total energy (eV per cell) = -54.26
- space group = P2/m

a b c (Å): 3.455 3.474 5.542
angles (deg): 90.00 90.15 90.00
Fractional positions:
Li 0.000 0.000 0.000
Y 0.000 0.000 0.500
P 0.499 0.500 0.796
P 0.501 0.500 0.204

---

2.
Computed, not measured: a PBEsol-optimized structure of AsC3Se at the meta-GGA SCAN level of DFT.

Calculated values
- mass density (g/cm³) = 5.3
- uncorrected formation energy (eV/atom) = 2.823
- space group = Pm-3m

a b c (Å): 3.911 3.911 3.911
angles (deg): 90.00 90.00 90.00
Fractional positions:
As 0.000 0.000 0.000
C 0.000 0.000 0.500
C 0.000 0.500 0.000
C 0.500 0.000 0.000
Se 0.500 0.500 0.500

---

3.
Computed, not measured: a PBEsol-optimized structure of LiHg2Ru at the meta-GGA SCAN level of DFT.

Calculated values
- mass density (g/cm³) = 13.0
- total energy (eV per cell) = -173.04
- space group = P4/mmm

a b c (Å): 3.109 3.109 6.748
angles (deg): 90.00 90.00 90.00
Fractional positions:
Li 0.000 0.000 0.000
Hg 0.500 0.500 0.240
Hg 0.500 0.500 0.760
Ru 0.000 0.000 0.500